## NaSr12Cd6 (PBE)

Data for a relaxed structure of NaSr12Cd6.

Structure (extended XYZ):
```
19
Lattice="-5.8770 5.8770 5.8770 5.8770 -5.8770 5.8770 5.8770 5.8770 -5.8770" Properties=species:S:1:pos:R:3 pbc="T T T"
Na 0.0000 0.0000 0.0000
Sr 5.8770 3.6678 -2.4130
Sr 3.4641 0.0000 2.2092
Sr 8.2900 0.0000 2.2092
Sr 2.2092 3.4641 0.0000
Sr 3.6678 -2.4130 5.8770
Sr 0.0000 2.2092 3.4641
Sr 5.8770 3.6678 2.4130
Sr 2.2092 8.2900 0.0000
Sr 3.6678 2.4130 5.8770
Sr -2.4130 5.8770 3.6678
Sr 2.4130 5.8770 3.6678
Sr 0.0000 2.2092 8.2900
Cd 5.8770 1.4544 0.0000
Cd 5.8770 0.0000 4.4226
Cd 4.4226 5.8770 0.0000
Cd 1.4544 0.0000 5.8770
Cd 0.0000 5.8770 1.4544
Cd 0.0000 4.4226 5.8770
```

Values from the calculation:
As for the total energy: -0.05845 Ha/atom. Its formation enthalpy at 0 K is -3.23 eV per formula unit. Its space-group type is No. 204. The calculation puts the total moment at 0.0 μB/f.u.


## Na6SrCd2 (PBE)

Data for a relaxed structure of Na6SrCd2.

Structure (extended XYZ):
```
9
Lattice="4.8090 0.0000 0.0000 0.0000 4.8090 0.0000 0.0000 0.0000 13.0985" Properties=species:S:1:pos:R:3 pbc="T T T"
Na 0.0000 0.0000 0.0000
Na 0.0000 2.4045 2.9551
Na 0.0000 2.4045 10.1434
Na 2.4045 0.0000 2.9551
Na 2.4045 0.0000 10.1434
Na 2.4045 2.4045 0.0000
Sr 0.0000 0.0000 6.5492
Cd 2.4045 2.4045 5.1020
Cd 2.4045 2.4045 7.9965
```

Values from the calculation:
As for the total energy: -0.04922 Ha/atom. Its formation enthalpy at 0 K is -0.63 eV per formula unit. Its space-group type is No. 123. The calculation puts the total moment at 0.0 μB/f.u.


## Na2Sr5Cd2 (PBE)

Data for a relaxed structure of Na2Sr5Cd2.

Structure (extended XYZ):
```
18
Lattice="9.7705 -4.4548 0.0000 9.7705 4.4548 0.0000 0.0000 0.0000 8.9476" Properties=species:S:1:pos:R:3 pbc="T T T"
Na 4.3778 0.0000 0.0000
Na 5.3926 0.0000 4.4738
Na 14.1483 0.0000 4.4738
Na 15.1631 0.0000 0.0000
Sr 0.0000 0.0000 0.0000
Sr 7.4305 2.8680 6.0676
Sr 7.4305 1.5869 1.5938
Sr 12.1105 2.8680 6.0676
Sr 12.1105 1.5869 1.5938
Sr 9.7705 0.0000 4.4738
Sr 7.4305 -1.5869 7.3538
Sr 7.4305 -2.8680 2.8800
Sr 12.1105 -1.5869 7.3538
Sr 12.1105 -2.8680 2.8800
Cd 9.7705 3.3910 3.4048
Cd 9.7705 1.0638 7.8786
Cd 9.7705 -1.0638 1.0690
Cd 9.7705 -3.3910 5.5428
```

Values from the calculation:
As for the total energy: -0.05679 Ha/atom. Its formation enthalpy at 0 K is -1.03 eV per formula unit. Its space-group type is No. 64. The calculation puts the total moment at 0.0 μB/f.u.


## Na3SrCd (PBE)

Data for a relaxed structure of Na3SrCd.

Structure (extended XYZ):
```
5
Lattice="7.1480 0.0000 0.0000 0.0000 7.1480 0.0000 0.0000 0.0000 7.1480" Properties=species:S:1:pos:R:3 pbc="T T T"
Na 0.0000 0.0000 3.5740
Na 0.0000 3.5740 0.0000
Na 3.5740 0.0000 0.0000
Sr 0.0000 0.0000 0.0000
Cd 3.5740 3.5740 3.5740
```

Values from the calculation:
As for the total energy: -0.02553 Ha/atom. Its excess energy over the best structure of this formula in the dataset is 0.670 eV per atom. Its formation enthalpy at 0 K is 3.08 eV per formula unit. Its space-group type is No. 221. The calculation puts the total moment at 0.0 μB/f.u.


## Na2Sr3Cd (PBE)

Data for a relaxed structure of Na2Sr3Cd.

Structure (extended XYZ):
```
12
Lattice="3.0118 -9.0684 0.0000 3.0118 9.0684 0.0000 0.0000 0.0000 8.9343" Properties=species:S:1:pos:R:3 pbc="T T T"
Na 0.0000 0.0000 0.0000
Na 0.0000 0.0000 4.4672
Na 3.0118 3.0056 0.0000
Na 3.0118 -3.0056 0.0000
Sr 3.0118 5.9244 2.4960
Sr 3.0118 5.9244 6.4383
Sr 3.0118 0.0000 2.4079
Sr 3.0118 0.0000 6.5264
Sr 3.0118 -5.9244 2.4960
Sr 3.0118 -5.9244 6.4383
Cd 3.0118 2.9097 4.4672
Cd 3.0118 -2.9097 4.4672
```

Values from the calculation:
As for the total energy: -0.05615 Ha/atom. Its formation enthalpy at 0 K is -0.57 eV per formula unit. Its space-group type is No. 65. The calculation puts the total moment at 0.0 μB/f.u.


## Na5Sr2Cd4 (PBE)

Data for a relaxed structure of Na5Sr2Cd4.

Structure (extended XYZ):
```
11
Lattice="-3.1435 4.8947 5.6389 3.1435 -4.8947 5.6389 3.1435 4.8947 -5.6389" Properties=species:S:1:pos:R:3 pbc="T T T"
Na 0.0000 0.0000 0.0000
Na 1.5835 3.0943 0.0000
Na 1.5599 -1.8004 5.6389
Na 1.5835 6.6952 0.0000
Na 1.5599 1.8004 5.6389
Sr 3.1435 0.0000 2.3621
Sr 0.0000 4.8947 3.2769
Cd 3.1435 3.3316 -2.9011
Cd 0.0000 1.5631 2.7378
Cd 3.1435 3.3316 2.9011
Cd 0.0000 1.5631 8.5401
```

Values from the calculation:
As for the total energy: -0.04990 Ha/atom. Its formation enthalpy at 0 K is -1.32 eV per formula unit. Its space-group type is No. 71. The calculation puts the total moment at 0.0 μB/f.u.


## NaSr4Cd5 (PBE)

Data for a relaxed structure of NaSr4Cd5.

Structure (extended XYZ):
```
10
Lattice="3.9770 0.0000 0.0000 0.0000 3.9770 0.0000 0.0000 0.0000 20.2659" Properties=species:S:1:pos:R:3 pbc="T T T"
Na 0.0000 0.0000 0.0000
Sr 0.0000 0.0000 3.8597
Sr 0.0000 0.0000 8.0440
Sr 0.0000 0.0000 12.2218
Sr 0.0000 0.0000 16.4061
Cd 1.9885 1.9885 1.6831
Cd 1.9885 1.9885 5.9420
Cd 1.9885 1.9885 10.1329
Cd 1.9885 1.9885 14.3238
Cd 1.9885 1.9885 18.5827
```

Values from the calculation:
As for the total energy: -0.05636 Ha/atom. Its formation enthalpy at 0 K is -2.71 eV per formula unit. Its space-group type is No. 123. The calculation puts the total moment at 0.0 μB/f.u.


## Na8SrCd4 (PBE)

Data for a relaxed structure of Na8SrCd4.

Structure (extended XYZ):
```
13
Lattice="-5.6670 5.6670 3.0977 5.6670 -5.6670 3.0977 5.6670 5.6670 -3.0977" Properties=species:S:1:pos:R:3 pbc="T T T"
Na 2.4595 0.0000 0.0000
Na 8.8745 0.0000 0.0000
Na 5.6670 1.7494 0.0000
Na 0.0000 2.4595 0.0000
Na 1.7494 5.6670 0.0000
Na 3.9176 0.0000 3.0977
Na 0.0000 8.8745 0.0000
Na 0.0000 3.9176 3.0977
Sr 0.0000 0.0000 3.0977
Cd 2.8335 2.8335 -1.5489
Cd 2.8335 -2.8335 1.5489
Cd -2.8335 2.8335 1.5489
Cd 2.8335 2.8335 1.5489
```

Values from the calculation:
As for the total energy: -0.04762 Ha/atom. Its formation enthalpy at 0 K is -0.95 eV per formula unit. Its space-group type is No. 139. The calculation puts the total moment at 0.0 μB/f.u.


## Na3SrCd (PBE)

Data for a relaxed structure of Na3SrCd.

Structure (extended XYZ):
```
20
Lattice="9.6713 -5.3916 0.0000 9.6713 5.3916 0.0000 -1.2791 0.0000 7.0216" Properties=species:S:1:pos:R:3 pbc="T T T"
Na 12.8523 -3.5658 0.5063
Na 5.2113 3.5658 6.5154
Na 2.5834 1.7809 4.1479
Na 5.5792 0.0284 2.8021
Na 4.9397 -0.0284 6.3130
Na 3.2229 -1.7809 0.6370
Na 12.2127 3.5658 4.0171
Na 5.8508 -3.5658 3.0046
Na 14.8406 1.7809 6.3846
Na 13.1239 0.0284 0.7087
Na 12.4844 -0.0284 4.2195
Na 15.4802 -1.7809 2.8738
Sr 8.7120 4.6733 5.2662
Sr 9.3516 1.5975 1.7554
Sr 8.7120 -1.5975 5.2662
Sr 9.3516 -4.6733 1.7554
Cd 7.2774 1.6363 4.9440
Cd 10.1467 1.6363 5.5885
Cd 7.9169 -1.6363 1.4332
Cd 10.7862 -1.6363 2.0777
```

Values from the calculation:
As for the total energy: -0.05016 Ha/atom. Its excess energy over the best structure of this formula in the dataset is 0.000 eV per atom. Its formation enthalpy at 0 K is -0.27 eV per formula unit. Its space-group type is No. 15. The calculation puts the total moment at 0.0 μB/f.u.


## Na16SrCd12 (PBE)

Data for a relaxed structure of Na16SrCd12.

Structure (extended XYZ):
```
29
Lattice="5.8964 -8.4838 0.0000 5.8964 8.4838 0.0000 -5.6373 0.0000 8.2464" Properties=species:S:1:pos:R:3 pbc="T T T"
Na 0.0000 0.0000 0.0000
Na 4.2892 -5.6513 5.2287
Na -3.6133 0.0000 5.3178
Na 3.8895 3.5497 2.7004
Na 1.6914 2.5814 5.3193
Na 6.4700 5.7307 1.8752
Na 4.2892 5.6513 5.2287
Na 6.3121 2.5988 0.3766
Na 3.9926 3.4939 7.8141
Na 1.6914 -2.5814 5.3193
Na 2.8884 0.0000 7.4351
Na 6.3781 0.0000 2.4336
Na 3.8895 -3.5497 2.7004
Na 6.3121 -2.5988 0.3766
Na 6.4700 -5.7307 1.8752
Na 3.9926 -3.4939 7.8141
Sr 2.8932 0.0000 3.0543
Cd 3.3469 6.9378 2.1942
Cd -2.5068 1.5629 8.2382
Cd 1.2632 5.4737 6.7963
Cd -0.4352 0.0000 3.7377
Cd -2.5068 -1.5629 8.2382
Cd -0.3440 0.0000 6.6831
Cd 4.9937 1.5233 5.2708
Cd 7.1306 3.0129 3.6980
Cd 4.9937 -1.5233 5.2708
Cd 3.3469 -6.9378 2.1942
Cd 1.2632 -5.4737 6.7963
Cd 7.1306 -3.0129 3.6980
```

Values from the calculation:
As for the total energy: -0.04586 Ha/atom. Its formation enthalpy at 0 K is -2.42 eV per formula unit. Its space-group type is No. 8. The calculation puts the total moment at 0.0 μB/f.u.